AcNpH2O6 after structural relaxation. Source: Alexandria via LeMat-Bulk, functional GGA-PBE.

SG: P-1 (2)
DFT total energy, eV/cell: -76.9
Crystal system: triclinic
Calculated volume, Å³/cell: 141.9

Cell lengths 5.0855, 5.5989, 5.9868 Å; angles 66.76, 72.21, 67.05 degrees
Closest atoms and distances in Å follow each position.
Fractional coordinates of all 10 atoms:
Ac 0.0000 0.0000 0.0000  6 O 2.49-2.57
Np 0.5000 0.5000 0.5000  4 O 1.93
H 0.0679 0.3200 0.2837  1 O 0.99
H 0.9321 0.6800 0.7163  1 O 0.99
O 0.0975 0.7263 0.7242  1 H 0.99
O 0.2614 0.5358 0.2851  1 H 1.84, 1 Np 1.93
O 0.4338 0.1606 0.7244  1 Np 1.93
O 0.5662 0.8394 0.2756  1 Np 1.93
O 0.7386 0.4642 0.7149  1 H 1.84, 1 Np 1.93
O 0.9025 0.2737 0.2758  1 H 0.99



Ac2NpH12Ru3 after structural relaxation. Source: Alexandria via LeMat-Bulk, functional GGA-PBE.

SG: R-3m (166)
DFT total energy, eV/cell: -93.2
Crystal system: trigonal
Calculated volume, Å³/cell: 188.2

Cell lengths 6.2622, 6.2622, 6.2622 Å; angles 63.81, 63.81, 63.81 degrees
Closest atoms and distances in Å follow each position.
Fractional coordinates of all 18 atoms:
Ac 0.1172 0.1172 0.1172  3 H 2.32
Ac 0.8828 0.8828 0.8828  3 H 2.32
Np 0.5000 0.5000 0.5000  6 H 2.21
H 0.0877 0.6277 0.6277  1 Ru 1.71
H 0.2089 0.2089 0.6294  2 Ru 1.79
H 0.2089 0.6294 0.2089  2 Ru 1.79
H 0.3706 0.7911 0.7911  2 Ru 1.79
H 0.3723 0.3723 0.9123  1 Ru 1.71
H 0.3723 0.9123 0.3723  1 Ru 1.71
H 0.6277 0.0877 0.6277  1 Ru 1.71
H 0.6277 0.6277 0.0877  1 Ru 1.71
H 0.6294 0.2089 0.2089  2 Ru 1.79
H 0.7911 0.3706 0.7911  2 Ru 1.79
H 0.7911 0.7911 0.3706  2 Ru 1.79
H 0.9123 0.3723 0.3723  1 Ru 1.71
Ru 0.0000 0.5000 0.5000  6 H 1.71-1.79
Ru 0.5000 0.0000 0.5000  6 H 1.71-1.79
Ru 0.5000 0.5000 0.0000  6 H 1.71-1.79



AcHO2 after structural relaxation. Source: Alexandria via LeMat-Bulk, functional GGA-PBE.

SG: Pnma (62)
E above lowest polymorph, meV per atom: 40
DFT total energy, eV/cell: -109.8
Crystal system: orthorhombic
Calculated volume, Å³/cell: 255.7

Cell lengths 11.6826, 4.0266, 5.4350 Å; angles 90.00, 90.00, 90.00 degrees
Closest atoms and distances in Å follow each position.
Fractional coordinates of all 16 atoms:
Ac 0.1435 0.2500 0.1501  6 O 2.44-2.68
Ac 0.3565 0.7500 0.6501  6 O 2.44-2.68
Ac 0.6435 0.2500 0.3499  6 O 2.44-2.68
Ac 0.8565 0.7500 0.8499  6 O 2.44-2.68
H 0.1098 0.7500 0.6794  1 O 1.00
H 0.3902 0.2500 0.1794  1 O 1.00
H 0.6098 0.7500 0.8206  1 O 1.00
H 0.8902 0.2500 0.3206  1 O 1.00
O 0.0815 0.7500 0.8540  1 H 1.00
O 0.1849 0.7500 0.3947  1 H 1.78
O 0.3151 0.2500 0.8947  1 H 1.78
O 0.4185 0.2500 0.3540  1 H 1.00
O 0.5815 0.7500 0.6460  1 H 1.00
O 0.6849 0.7500 0.1053  1 H 1.78
O 0.8151 0.2500 0.6053  1 H 1.78
O 0.9185 0.2500 0.1460  1 H 1.00



AcHO3 after structural relaxation. Source: Alexandria via LeMat-Bulk, functional GGA-PBE.

SG: Cmmm (65)
DFT total energy, eV/cell: -60.5
Crystal system: orthorhombic
Calculated volume, Å³/cell: 150.3

Cell lengths 9.2667, 9.2667, 4.2112 Å; angles 90.00, 90.00, 155.45 degrees
Closest atoms and distances in Å follow each position.
Fractional coordinates of all 10 atoms:
Ac 0.1262 0.8738 0.0000  2 O 2.30
Ac 0.8738 0.1262 0.0000  2 O 2.30
H 0.3876 0.6124 0.5000  1 O 0.99
H 0.6124 0.3876 0.5000  1 O 0.99
O 0.0367 0.9633 0.5000  1 O 1.33
O 0.3331 0.6669 0.5000  1 H 0.99
O 0.4394 0.5606 0.0000  1 O 2.20, 2 Ac 2.30, 2 H 2.31
O 0.5606 0.4394 0.0000  1 O 2.20, 2 Ac 2.30, 2 H 2.31
O 0.6669 0.3331 0.5000  1 H 0.99
O 0.9633 0.0367 0.5000  1 O 1.33



> What is the calculated volume in the first record?

141.9 Å³/cell



> What is the calculated volume in the second record?

188.2 Å³/cell